[1]
The following is a PBE calculation of TcIr2Se after structural relaxation, from Alexandria via LeMat-Bulk.

Summary:
Energy, eV per atom: -7.70
E_form (uncorrected), eV/atom: 0.194
Density of states at the Fermi level, states/eV per cell: 3.4
Theoretical density, g/cm³: 15.156

a b c (Å): 2.819 2.819 7.739
angles (deg): 90.00 90.00 90.00
Space group P4/mmm (No. 123)
Asymmetric unit:
Tc  0.000  0.000  0.000 (multiplicity 1)
Ir  0.500  0.500  0.235 (multiplicity 2)
Se  0.000  0.000  0.500 (multiplicity 1)


[2]
The following is a PBE calculation of TcIr2Se after structural relaxation, from Alexandria via LeMat-Bulk.

Summary:
Energy, eV per atom: -7.45
E_form (uncorrected), eV/atom: 0.448
Density of states at the Fermi level, states/eV per cell: 8.0
Theoretical density, g/cm³: 15.334

a b c (Å): 3.928 3.928 7.879
angles (deg): 90.00 90.00 90.00
Space group I4/mmm (No. 139)
Asymmetric unit:
Tc  0.000  0.000  0.000 (multiplicity 2)
Ir  0.000  0.500  0.250 (multiplicity 4)
Se  0.000  0.000  0.500 (multiplicity 2)